P | VASP calculation (PBE) on Tm8Co2Ru after structural relaxation.

Summary:
- calculated density (g cm⁻³) = 9.8
- calculated volume (Å³/f.u.) = 266
- M_tot (μB/atom) = 0.000

Cell lengths 7.3443, 7.3443, 5.6740 Å; angles 99.97, 99.97, 113.53 degrees
Element x y z (fractional)
1 Tm 0.0000 0.0000 0.0000
2 Tm 0.0279 0.2860 0.5974
3 Tm 0.1485 0.5805 0.1887
4 Tm 0.2860 0.0279 0.5974
5 Tm 0.4376 0.6959 0.7861
6 Tm 0.5805 0.1485 0.1887
7 Tm 0.6959 0.4376 0.7861
8 Tm 0.7231 0.7231 0.3715
9 Co 0.0507 0.6679 0.6836
10 Co 0.6679 0.0507 0.6836
11 Ru 0.3628 0.3628 0.0919

***

Q | VASP calculation (PBE) on Tm8Co2Ru after structural relaxation.

Summary:
- calculated density (g cm⁻³) = 10.2
- calculated volume (Å³/f.u.) = 256
- M_tot (μB/atom) = 0.000

Cell lengths 8.7287, 8.7287, 6.6056 Å; angles 106.89, 106.89, 32.25 degrees
Element x y z (fractional)
1 Tm 0.0351 0.0351 0.2944
2 Tm 0.2008 0.2008 0.8190
3 Tm 0.3282 0.3282 0.5277
4 Tm 0.4046 0.4046 0.0466
5 Tm 0.5954 0.5954 0.9534
6 Tm 0.6718 0.6718 0.4723
7 Tm 0.7992 0.7992 0.1810
8 Tm 0.9649 0.9649 0.7056
9 Co 0.1864 0.1864 0.2003
10 Co 0.8136 0.8136 0.7997
11 Ru 0.5000 0.5000 0.5000

***

Quick one: least stable of them? P

***

P | VASP calculation (PBE) on VCo3Ru after structural relaxation.

Summary:
- calculated density (g cm⁻³) = 8.0
- calculated volume (Å³/f.u.) = 68
- M_tot (μB/atom) = 0.881

Cell lengths 4.9347, 4.9347, 7.7435 Å; angles 90.00, 90.00, 133.83 degrees
Element x y z (fractional)
1 V 0.1565 0.8435 0.7500
2 V 0.8435 0.1565 0.2500
3 Co 0.1730 0.8270 0.2500
4 Co 0.3298 0.6702 0.5073
5 Co 0.3298 0.6702 0.9927
6 Co 0.6702 0.3298 0.0073
7 Co 0.6702 0.3298 0.4927
8 Co 0.8270 0.1730 0.7500
9 Ru 0.4982 0.5018 0.2500
10 Ru 0.5018 0.4982 0.7500

***

Q | VASP calculation (PBE) on VCo3Ru after structural relaxation.

Summary:
- calculated density (g cm⁻³) = 6.9
- calculated volume (Å³/f.u.) = 79
- M_tot (μB/atom) = 0.473

Cell lengths 8.9794, 8.9794, 8.9794 Å; angles 152.08, 152.08, 39.90 degrees
Element x y z (fractional)
1 V 0.0000 0.0000 0.0000
2 V 0.7500 0.2500 0.5000
3 Co 0.0888 0.5888 0.5000
4 Co 0.3713 0.1254 0.2459
5 Co 0.4112 0.9112 0.5000
6 Co 0.8746 0.1205 0.2459
7 Co 0.8746 0.6287 0.7541
8 Co 0.8795 0.1254 0.7541
9 Ru 0.3441 0.3441 0.0000
10 Ru 0.6559 0.6559 0.0000

***

Quick one: least stable of them? Q

***

P | VASP calculation (PBE) on V3Co2Ru after structural relaxation.

Summary:
- calculated density (g cm⁻³) = 8.3
- calculated volume (Å³/f.u.) = 75
- M_tot (μB/atom) = 0.000

Cell lengths 2.6550, 2.6550, 10.5852 Å; angles 90.00, 90.00, 90.00 degrees
Element x y z (fractional)
1 V 0.0000 0.0000 0.0000
2 V 0.0000 0.0000 0.3193
3 V 0.0000 0.0000 0.6807
4 Co 0.5000 0.5000 0.1616
5 Co 0.5000 0.5000 0.8384
6 Ru 0.5000 0.5000 0.5000

***

Q | VASP calculation (PBE) on V3Co2Ru after structural relaxation.

Summary:
- calculated density (g cm⁻³) = 8.1
- calculated volume (Å³/f.u.) = 76
- M_tot (μB/atom) = 0.743

Cell lengths 6.5971, 6.5971, 5.8371 Å; angles 90.00, 90.00, 143.13 degrees
Element x y z (fractional)
1 V 0.0000 0.0000 0.2437
2 V 0.0000 0.0000 0.7563
3 V 0.3357 0.6643 0.2412
4 V 0.3357 0.6643 0.7588
5 V 0.6643 0.3357 0.2412
6 V 0.6643 0.3357 0.7588
7 Co 0.1679 0.8321 0.0000
8 Co 0.5000 0.5000 0.0000
9 Co 0.5000 0.5000 0.5000
10 Co 0.8321 0.1679 0.0000
11 Ru 0.1648 0.8352 0.5000
12 Ru 0.8352 0.1648 0.5000

***

Quick one: least stable of them? P

***

P | VASP calculation (PBE) on VCo4Ru after structural relaxation.

Summary:
- calculated density (g cm⁻³) = 9.0
- calculated volume (Å³/f.u.) = 72
- M_tot (μB/atom) = 1.014

Cell lengths 4.6619, 4.6619, 4.6619 Å; angles 60.00, 60.00, 60.00 degrees
Element x y z (fractional)
1 V 0.0000 0.0000 0.0000
2 Co 0.1252 0.6249 0.6249
3 Co 0.6249 0.1252 0.6249
4 Co 0.6249 0.6249 0.1252
5 Co 0.6249 0.6249 0.6249
6 Ru 0.2500 0.2500 0.2500

***

Q | VASP calculation (PBE) on VCo4Ru after structural relaxation.

Summary:
- calculated density (g cm⁻³) = 9.1
- calculated volume (Å³/f.u.) = 70
- M_tot (μB/atom) = 0.794

Cell lengths 4.0364, 4.0364, 4.9948 Å; angles 90.00, 90.00, 120.00 degrees
Element x y z (fractional)
1 V 0.0000 0.0000 0.0000
2 Co 0.3333 0.6667 0.2469
3 Co 0.3333 0.6667 0.7531
4 Co 0.6667 0.3333 0.2469
5 Co 0.6667 0.3333 0.7531
6 Ru 0.0000 0.0000 0.5000

***

Quick one: least stable of them? P

***

P | VASP calculation (PBE) on Co2RuW after structural relaxation.

Summary:
- calculated density (g cm⁻³) = 12.2
- calculated volume (Å³/f.u.) = 55
- M_tot (μB/atom) = 0.000

Cell lengths 6.5561, 6.5561, 5.1207 Å; angles 90.00, 90.00, 90.00 degrees
Element x y z (fractional)
1 Co 0.2421 0.2500 0.1250
2 Co 0.2500 0.7421 0.3750
3 Co 0.2500 0.7579 0.8750
4 Co 0.2579 0.2500 0.6250
5 Co 0.7421 0.7500 0.6250
6 Co 0.7500 0.2421 0.8750
7 Co 0.7500 0.2579 0.3750
8 Co 0.7579 0.7500 0.1250
9 Ru 0.0000 0.0000 0.5000
10 Ru 0.0000 0.5000 0.7500
11 Ru 0.5000 0.0000 0.2500
12 Ru 0.5000 0.5000 0.0000
13 W 0.0000 0.0000 0.0000
14 W 0.0000 0.5000 0.2500
15 W 0.5000 0.0000 0.7500
16 W 0.5000 0.5000 0.5000

***

Q | VASP calculation (PBE) on Co2RuW after structural relaxation.

Summary:
- calculated density (g cm⁻³) = 13.1
- calculated volume (Å³/f.u.) = 51
- M_tot (μB/atom) = 0.229

Cell lengths 5.2238, 7.3056, 2.6684 Å; angles 90.00, 90.00, 90.00 degrees
Element x y z (fractional)
1 Co 0.2500 0.2500 0.0000
2 Co 0.2500 0.7500 0.0000
3 Co 0.7500 0.2500 0.0000
4 Co 0.7500 0.7500 0.0000
5 Ru 0.0000 0.0000 0.5000
6 Ru 0.5000 0.5000 0.5000
7 W 0.0000 0.5000 0.5000
8 W 0.5000 0.0000 0.5000

***

R | VASP calculation (PBE) on Co2RuW after structural relaxation.

Summary:
- calculated density (g cm⁻³) = 13.2
- calculated volume (Å³/f.u.) = 51
- M_tot (μB/atom) = 0.079

Cell lengths 3.6969, 3.6969, 7.4098 Å; angles 90.00, 90.00, 90.00 degrees
Element x y z (fractional)
1 Co 0.0000 0.5000 0.2500
2 Co 0.0000 0.5000 0.7500
3 Co 0.5000 0.0000 0.2500
4 Co 0.5000 0.0000 0.7500
5 Ru 0.0000 0.0000 0.0000
6 Ru 0.5000 0.5000 0.5000
7 W 0.0000 0.0000 0.5000
8 W 0.5000 0.5000 0.0000

***

Quick one: least stable of them? P

***

P | VASP calculation (PBE) on CoRuW after structural relaxation.

Summary:
- calculated density (g cm⁻³) = 14.0
- calculated volume (Å³/f.u.) = 41
- M_tot (μB/atom) = 0.181

Cell lengths 4.6506, 8.0425, 4.6702 Å; angles 90.00, 110.79, 90.00 degrees
Element x y z (fractional)
1 Co 0.0000 0.0000 0.0000
2 Co 0.0000 0.1812 0.5000
3 Co 0.5000 0.5000 0.0000
4 Co 0.5000 0.6812 0.5000
5 Ru 0.0000 0.6714 0.0000
6 Ru 0.0000 0.8567 0.5000
7 Ru 0.5000 0.1714 0.0000
8 Ru 0.5000 0.3567 0.5000
9 W 0.0000 0.3226 0.0000
10 W 0.0000 0.5229 0.5000
11 W 0.5000 0.0229 0.5000
12 W 0.5000 0.8226 0.0000

***

Q | VASP calculation (PBE) on CoRuW after structural relaxation.

Summary:
- calculated density (g cm⁻³) = 14.0
- calculated volume (Å³/f.u.) = 41
- M_tot (μB/atom) = 0.001

Cell lengths 8.4706, 3.7824, 5.3702 Å; angles 90.00, 108.45, 90.00 degrees
Element x y z (fractional)
1 Co 0.0000 0.0000 0.0000
2 Co 0.1604 0.5000 0.3260
3 Co 0.5000 0.5000 0.0000
4 Co 0.6604 0.0000 0.3260
5 Ru 0.1623 0.5000 0.8348
6 Ru 0.3252 0.0000 0.1718
7 Ru 0.6623 0.0000 0.8348
8 Ru 0.8252 0.5000 0.1718
9 W 0.3361 0.0000 0.6831
10 W 0.4993 0.5000 0.4685
11 W 0.8361 0.5000 0.6831
12 W 0.9993 0.0000 0.4685

***

Quick one: least stable of them? Q